Record 1
TaOsPt2: relaxed, PBE-GGA.

Computed properties:
space-group type: R-3m, No. 166
volume: 62.8 Å³/cell
energy above the most stable polymorph in this dataset: 400 meV per atom
calculated formation energy: -0.10 eV per atom

abc: 9.4056 9.4056 9.4056
angles: 17.11 17.11 17.11
Closest atoms and distances in Å follow each position.
Element x y z (fractional)
Ta 0.0000 0.0000 0.0000  6 Ta 2.80, 6 Pt 2.84
Os 0.5000 0.5000 0.5000  6 Os 2.80, 6 Pt 2.81
Pt 0.2492 0.2492 0.2492  6 Pt 2.80, 3 Os 2.81, 3 Ta 2.84
Pt 0.7508 0.7508 0.7508  6 Pt 2.80, 3 Os 2.81, 3 Ta 2.84

=====

Record 2
TaOsPt2: relaxed, PBE-GGA.

Computed properties:
space-group type: Cm, No. 8
volume: 62.9 Å³/cell
energy above the most stable polymorph in this dataset: 221 meV per atom
calculated formation energy: -0.27 eV per atom

abc: 4.8790 4.8790 4.9191
angles: 99.00 99.00 33.01
Closest atoms and distances in Å follow each position.
Element x y z (fractional)
Ta 0.0000 0.0000 0.0000  2 Ta 2.77, 7 Pt 2.80-2.85, 3 Os 2.83-2.85
Os 0.2505 0.2505 0.7401  7 Pt 2.75-2.86, 2 Os 2.77, 3 Ta 2.83-2.85
Pt 0.5072 0.5072 0.5073  3 Os 2.75-2.82, 5 Pt 2.77-2.90, 4 Ta 2.80-2.85
Pt 0.7486 0.7486 0.2473  5 Pt 2.77-2.90, 4 Os 2.79-2.86, 3 Ta 2.81-2.82

=====

Record 3
TaOsPt: relaxed, PBE-GGA.

Computed properties:
space-group type: Cmcm, No. 63
volume: 95.8 Å³/cell
energy above the most stable polymorph in this dataset: 0 meV per atom
calculated formation energy: -0.40 eV per atom

abc: 6.2974 6.2974 4.0134
angles: 90.00 90.00 143.00
Closest atoms and distances in Å follow each position.
Element x y z (fractional)
Ta 0.0991 0.9009 0.7500  4 Os 2.69-2.70, 6 Pt 2.84-2.93
Ta 0.9009 0.0991 0.2500  4 Os 2.69-2.70, 6 Pt 2.84-2.93
Os 0.2487 0.7513 0.2500  4 Ta 2.69-2.70, 4 Os 2.83, 4 Pt 2.83-2.86
Os 0.7513 0.2487 0.7500  4 Ta 2.69-2.70, 4 Os 2.83, 4 Pt 2.83-2.86
Pt 0.4195 0.5805 0.7500  2 Pt 2.78, 4 Os 2.83-2.86, 6 Ta 2.84-2.93
Pt 0.5805 0.4195 0.2500  2 Pt 2.78, 4 Os 2.83-2.86, 6 Ta 2.84-2.93

=====

Record 4
TaOsPt2: relaxed, PBE-GGA.

Computed properties:
space-group type: Cmmm, No. 65
volume: 62.7 Å³/cell
energy above the most stable polymorph in this dataset: 223 meV per atom
calculated formation energy: -0.27 eV per atom

abc: 4.8954 4.8954 2.8163
angles: 90.00 90.00 111.77
Closest atoms and distances in Å follow each position.
Element x y z (fractional)
Ta 0.0000 0.0000 0.0000  2 Os 2.75, 2 Ta 2.82, 8 Pt 2.82
Os 0.5000 0.5000 0.0000  2 Ta 2.75, 2 Os 2.82, 8 Pt 2.82
Pt 0.0000 0.5000 0.5000  4 Pt 2.75-2.82, 4 Ta 2.82, 4 Os 2.82
Pt 0.5000 0.0000 0.5000  4 Pt 2.75-2.82, 4 Ta 2.82, 4 Os 2.82

=====

Record 5
TaOsPt2: relaxed, PBE-GGA.

Computed properties:
space-group type: P4/mmm, No. 123
volume: 62.2 Å³/cell
energy above the most stable polymorph in this dataset: 0 meV per atom
calculated formation energy: -0.50 eV per atom

abc: 3.9019 3.9019 4.0864
angles: 90.00 90.00 90.00
Closest atoms and distances in Å follow each position.
Element x y z (fractional)
Ta 0.0000 0.0000 0.0000  4 Os 2.76, 8 Pt 2.83
Os 0.5000 0.5000 0.0000  4 Ta 2.76, 8 Pt 2.83
Pt 0.0000 0.5000 0.5000  4 Pt 2.76, 4 Ta 2.83, 4 Os 2.83
Pt 0.5000 0.0000 0.5000  4 Pt 2.76, 4 Ta 2.83, 4 Os 2.83

=====

Record 6
TaOsPt2: relaxed, PBE-GGA.

Computed properties:
space-group type: Pmm2, No. 25
volume: 62.9 Å³/cell
energy above the most stable polymorph in this dataset: 179 meV per atom
calculated formation energy: -0.32 eV per atom

abc: 2.7680 3.9945 5.6924
angles: 90.00 90.00 90.00
Closest atoms and distances in Å follow each position.
Element x y z (fractional)
Ta 0.0000 0.0000 0.0000  2 Ta 2.77, 6 Pt 2.79-2.90, 4 Os 2.82
Os 0.5000 0.5000 0.2521  2 Os 2.77, 6 Pt 2.78-2.87, 4 Ta 2.82
Pt 0.0000 0.0000 0.4904  6 Pt 2.77-2.84, 4 Os 2.78, 2 Ta 2.79-2.90
Pt 0.5000 0.5000 0.7473  6 Pt 2.77-2.84, 2 Os 2.82-2.87, 4 Ta 2.82